1.
# BeTlRh2 PBE optimized geometry
data_BeTlRh2
_cell_length_a 9.949
_cell_length_b 3.020
_cell_length_c 4.449
_cell_angle_alpha 90.00
_cell_angle_beta 115.19
_cell_angle_gamma 90.00
_symmetry_space_group_name_H-M 'C 1 m 1'
_symmetry_Int_Tables_number 8
loop_
_symmetry_equiv_pos_as_xyz
'x,y,z'
'x,-y,z'
'x+1/2,y+1/2,z'
'x+1/2,-y+1/2,z'
loop_
_atom_site_label
_atom_site_type_symbol
_atom_site_fract_x
_atom_site_fract_y
_atom_site_fract_z
Be1 Be 0.000 0.000 0.000
Tl1 Tl 0.246 0.500 0.383
Rh1 Rh 0.034 0.500 0.648
Rh2 Rh 0.319 0.000 0.957
# Fermi-level density of states in states/eV/atom: 0.882
# Energy relative to the elements in eV/atom: 0.07
# Energy above the most stable polymorph in this dataset in meV/atom: 210
# Total magnetization in Bohr magnetons per cell: 0.0


2.
# Nd3NiAu2 PBE optimized geometry
data_Nd3NiAu2
_cell_length_a 12.291
_cell_length_b 4.535
_cell_length_c 10.935
_cell_angle_alpha 90.00
_cell_angle_beta 90.00
_cell_angle_gamma 90.00
_symmetry_space_group_name_H-M 'P n m a'
_symmetry_Int_Tables_number 62
loop_
_symmetry_equiv_pos_as_xyz
'x,y,z'
'-x,-y,-z'
'-x+1/2,-y,z+1/2'
'x+1/2,y,-z+1/2'
'x+1/2,-y+1/2,-z+1/2'
'-x+1/2,y+1/2,z+1/2'
'-x,y+1/2,-z'
'x,-y+1/2,z'
loop_
_atom_site_label
_atom_site_type_symbol
_atom_site_fract_x
_atom_site_fract_y
_atom_site_fract_z
Nd1 Nd 0.054 0.250 0.122
Nd2 Nd 0.111 0.750 0.561
Nd3 Nd 0.237 0.250 0.792
Ni1 Ni 0.122 0.250 0.369
Au1 Au 0.005 0.750 0.302
Au2 Au 0.196 0.750 0.000
# Fermi-level density of states in states/eV/atom: 0.910
# Energy relative to the elements in eV/atom: -0.60
# Total magnetization in Bohr magnetons per cell: 0.0


3.
# CrRu2Pb PBE optimized geometry
data_CrRu2Pb
_cell_length_a 2.990
_cell_length_b 2.990
_cell_length_c 7.184
_cell_angle_alpha 90.00
_cell_angle_beta 90.00
_cell_angle_gamma 90.00
_symmetry_space_group_name_H-M 'P 4 m m'
_symmetry_Int_Tables_number 99
loop_
_symmetry_equiv_pos_as_xyz
'x,y,z'
'-y,x,z'
'-x,-y,z'
'y,-x,z'
'-x,y,z'
'y,x,z'
'x,-y,z'
'-y,-x,z'
loop_
_atom_site_label
_atom_site_type_symbol
_atom_site_fract_x
_atom_site_fract_y
_atom_site_fract_z
Cr1 Cr 0.000 0.000 0.000
Ru1 Ru 0.000 0.000 0.568
Ru2 Ru 0.500 0.500 0.809
Pb1 Pb 0.500 0.500 0.291
# Fermi-level density of states in states/eV/atom: 1.434
# Energy relative to the elements in eV/atom: 0.60
# Total magnetization in Bohr magnetons per cell: 0.0


4.
# La2TbPd PBE optimized geometry
data_La2TbPd
_cell_length_a 3.7463
_cell_length_b 3.7463
_cell_length_c 32.2367
_cell_angle_alpha 90.00
_cell_angle_beta 90.00
_cell_angle_gamma 120.00
_symmetry_space_group_name_H-M 'R -3 m'
_symmetry_Int_Tables_number 166
_symmetry_space_group_name_Hall '-R 3 2"'
loop_
_atom_site_label
_atom_site_type_symbol
_atom_site_fract_x
_atom_site_fract_y
_atom_site_fract_z
La1 La 0.0000 0.0000 0.1049
Tb1 Tb 0.0000 0.0000 0.0000
Pd1 Pd 0.0000 0.0000 0.5000
# Fermi-level density of states in states/eV/atom: 1.397
# Energy relative to the elements in eV/atom: -0.08
# Energy above the most stable polymorph in this dataset in meV/atom: 341
# Total magnetization in Bohr magnetons per cell: 0.0


5.
# PmNdGa2 PBE optimized geometry
data_PmNdGa2
_cell_length_a 7.365
_cell_length_b 7.365
_cell_length_c 7.365
_cell_angle_alpha 90.00
_cell_angle_beta 90.00
_cell_angle_gamma 90.00
_symmetry_space_group_name_H-M 'F m -3 m'
_symmetry_Int_Tables_number 225
_symmetry_space_group_name_Hall '-F 4 2 3'
loop_
_atom_site_label
_atom_site_type_symbol
_atom_site_fract_x
_atom_site_fract_y
_atom_site_fract_z
Pm1 Pm 0.000 0.000 0.000
Nd1 Nd 0.000 0.000 0.500
Ga1 Ga 0.250 0.250 0.250
# Fermi-level density of states in states/eV/atom: 0.445
# Energy relative to the elements in eV/atom: -0.56
# Energy above the most stable polymorph in this dataset in meV/atom: 35
# Total magnetization in Bohr magnetons per cell: 0.0


6.
# ZnSiP2 PBE optimized geometry
data_ZnSiP2
_cell_length_a 3.114
_cell_length_b 3.114
_cell_length_c 6.437
_cell_angle_alpha 90.00
_cell_angle_beta 90.00
_cell_angle_gamma 90.00
_symmetry_space_group_name_H-M 'P 4 m m'
_symmetry_Int_Tables_number 99
loop_
_symmetry_equiv_pos_as_xyz
'x,y,z'
'-y,x,z'
'-x,-y,z'
'y,-x,z'
'-x,y,z'
'y,x,z'
'x,-y,z'
'-y,-x,z'
loop_
_atom_site_label
_atom_site_type_symbol
_atom_site_fract_x
_atom_site_fract_y
_atom_site_fract_z
Zn1 Zn 0.000 0.000 0.000
Si1 Si 0.500 0.500 0.743
P1 P 0.000 0.000 0.468
P2 P 0.500 0.500 0.306
# Fermi-level density of states in states/eV/atom: 0.194
# Energy above the most stable polymorph in this dataset in meV/atom: 792
# E_form (uncorrected) in eV/atom: 0.481
# Total magnetization in Bohr magnetons per cell: 0.0


What is the formula in the first record?
BeTlRh2